[1]
A geometry-optimized TlFe2Cl structure. Source: the Alexandria database, functional PBE.

Structure (extended XYZ):
```
4
Lattice="3.0679 0.0000 0.0000 0.0000 3.2669 0.0601 0.0000 1.5265 7.9217" Properties=species:S:1:pos:R:3 pbc="T T T"
Fe 1.5339 1.0035 1.5311
Fe 0.0000 2.6562 0.4062
Tl 0.0000 2.6029 3.5199
Cl 1.5339 4.1945 6.5755
```

Spin magnetization, μB/atom: 1.44
Formation energy from raw total energies, eV per atom: 0.14
Polymorph energy (0 for the lowest one), meV per atom: 0

[2]
A geometry-optimized TlFeCl2 structure. Source: the Alexandria database, functional PBE.

Structure (extended XYZ):
```
4
Lattice="0.0000 3.5816 3.5816 3.5816 0.0000 3.5816 3.5816 3.5816 0.0000" Properties=species:S:1:pos:R:3 pbc="T T T"
Fe 0.0000 0.0000 0.0000
Cl 1.7908 1.7908 1.7908
Cl 5.3724 5.3724 5.3724
Tl 3.5816 3.5816 3.5816
```

Spin magnetization, μB/atom: 0.79
Formation energy from raw total energies, eV per atom: -0.02
Polymorph energy (0 for the lowest one), meV per atom: 416

[3]
A geometry-optimized Tl2FeCl structure. Source: the Alexandria database, functional PBE.

Structure (extended XYZ):
```
4
Lattice="-6.8169 1.6506 -4.7504 -4.4912 0.2133 -7.1794 -6.5031 -1.9803 -5.0546" Properties=species:S:1:pos:R:3 pbc="T T T"
Fe -13.3584 -0.0873 -12.7383
Tl -0.1582 -0.0010 -0.1509
Tl -8.7474 -0.0572 -8.3413
Cl -4.4528 -0.0291 -4.2461
```

Spin magnetization, μB/atom: 0.66
Formation energy from raw total energies, eV per atom: 0.23
Polymorph energy (0 for the lowest one), meV per atom: 238

[4]
A geometry-optimized Tl3Fe2Cl9 structure. Source: the Alexandria database, functional PBE.

Structure (extended XYZ):
```
14
Lattice="-5.6968 1.1864 3.9525 3.2061 -6.2567 0.2393 5.1302 2.8786 6.5302" Properties=species:S:1:pos:R:3 pbc="T T T"
Cl 1.6030 -3.1284 0.1196
Cl -2.8484 0.5932 1.9762
Cl 3.6216 0.0183 5.2144
Cl 5.1762 -3.0156 5.3304
Cl 2.4138 -2.4403 7.2470
Cl -0.9821 -2.2101 5.5076
Cl -1.2454 -2.5352 2.0959
Cl 0.2257 0.2485 3.4751
Cl -2.5367 0.8238 5.3916
Fe -1.7506 -0.7456 3.9604
Fe 4.3901 -1.4462 6.7616
Tl 0.0000 0.0000 0.0000
Tl 1.8330 -2.8810 3.5067
Tl 0.8065 0.6892 7.2153
```

Spin magnetization, μB/atom: 0.71
Formation energy from raw total energies, eV per atom: -0.85

[5]
A geometry-optimized TlFeCl2 structure. Source: the Alexandria database, functional PBE.

Structure (extended XYZ):
```
4
Lattice="-2.1972 -4.5213 -0.0954 1.7438 -3.5781 -3.0717 2.3891 -3.9966 1.8970" Properties=species:S:1:pos:R:3 pbc="T T T"
Cl 0.4839 -3.0240 -0.3175
Cl 0.0000 0.0000 0.0000
Tl 1.4518 -9.0720 -0.9526
Fe 0.9679 -6.0480 -0.6350
```

Spin magnetization, μB/atom: 0.77
Formation energy from raw total energies, eV per atom: 0.27
Polymorph energy (0 for the lowest one), meV per atom: 714

[6]
A geometry-optimized Tl3FeCl structure. Source: the Alexandria database, functional PBE.

Structure (extended XYZ):
```
5
Lattice="5.1867 0.0000 0.0000 0.0000 5.1867 0.0000 0.0000 0.0000 5.1867" Properties=species:S:1:pos:R:3 pbc="T T T"
Fe 0.0000 0.0000 0.0000
Cl 2.5933 2.5933 2.5933
Tl 0.0000 2.5933 0.0000
Tl 0.0000 0.0000 2.5933
Tl 2.5933 0.0000 0.0000
```

Spin magnetization, μB/atom: 0.26
Formation energy from raw total energies, eV per atom: 0.00
Polymorph energy (0 for the lowest one), meV per atom: 0

[7]
A geometry-optimized TmTlFe2Cl8 structure. Source: the Alexandria database, functional PBE.

Structure (extended XYZ):
```
12
Lattice="6.4432 0.0001 0.0000 3.2215 5.5800 0.0000 3.2216 1.8600 9.5903" Properties=species:S:1:pos:R:3 pbc="T T T"
Fe 3.2216 1.8600 2.2953
Fe 9.6647 5.5801 7.2950
Tm 0.0000 0.0000 0.0000
Cl 8.5697 3.7680 1.5430
Cl 4.3165 3.6722 8.0473
Cl 3.2216 1.8600 4.5165
Cl 9.6647 5.5801 5.0738
Cl 5.3384 5.5378 1.5430
Cl 7.4650 5.5857 8.0473
Cl 7.5479 1.9023 8.0473
Cl 5.4213 1.8544 1.5430
Tl 6.4431 3.7201 4.7951
```

Spin magnetization, μB/atom: 0.67
Formation energy from raw total energies, eV per atom: -1.23

[8]
A geometry-optimized TlVFe2Cl8 structure. Source: the Alexandria database, functional PBE.

Structure (extended XYZ):
```
12
Lattice="-2.8784 1.9498 5.2158 2.1370 -3.0561 5.0383 6.4423 6.3876 1.8853" Properties=species:S:1:pos:R:3 pbc="T T T"
Tl 3.2212 3.1938 0.9426
V 0.0000 0.0000 0.0000
Cl 6.2652 6.1249 4.2876
Cl 3.4863 3.3429 4.2313
Cl 2.2146 1.9384 7.9082
Cl -0.4253 1.9780 5.4209
Cl 2.1694 -0.6118 5.3291
Cl 6.1263 3.3033 6.7186
Cl 3.5316 5.8931 6.8104
Cl -0.5642 -0.8437 7.8518
Fe 0.8452 0.6056 6.8040
Fe 4.8557 4.6757 5.3354
```

Spin magnetization, μB/atom: 0.91
Formation energy from raw total energies, eV per atom: -0.89

[9]
A geometry-optimized TlVFeCl5 structure. Source: the Alexandria database, functional PBE.

Structure (extended XYZ):
```
16
Lattice="7.2235 -0.0062 0.0146 -2.1146 6.9071 0.0146 -2.1091 -2.8489 8.4686" Properties=species:S:1:pos:R:3 pbc="T T T"
Fe -0.7815 2.6125 6.3660
Fe 3.7814 1.4395 2.1317
Cl 3.3090 3.1199 3.6819
Cl -2.6849 2.2739 7.6393
Cl -1.0133 4.5318 5.0928
Cl 4.0132 -0.4798 3.4050
Cl 0.9635 2.6512 7.9162
Cl 2.0363 1.4008 0.5816
Cl -2.0243 5.7377 2.1317
Cl 5.0242 -1.6857 6.3660
Cl -0.3092 0.9321 4.8158
Cl 5.6848 1.7781 0.8585
Tl 0.5212 3.8532 2.1317
Tl 2.4787 0.1988 6.3660
V 0.0000 0.0000 0.0000
V -1.0546 -1.4244 4.2343
```

Spin magnetization, μB/atom: 0.82
Formation energy from raw total energies, eV per atom: -0.92

[10]
A geometry-optimized YTlFe2Cl8 structure. Source: the Alexandria database, functional PBE.

Structure (extended XYZ):
```
12
Lattice="6.4780 0.0001 0.0000 3.2389 5.6102 0.0000 3.2390 1.8701 9.5987" Properties=species:S:1:pos:R:3 pbc="T T T"
Cl 5.3904 5.5746 1.5727
Cl 5.4331 1.8811 1.5727
Cl 8.6104 3.7648 1.5727
Cl 7.5228 5.5992 8.0259
Cl 3.2390 1.8701 4.5552
Cl 7.5655 1.9057 8.0259
Cl 4.3455 3.7155 8.0259
Cl 9.7169 5.6103 5.0435
Fe 9.7169 5.6102 7.2628
Fe 3.2390 1.8701 2.3359
Y 0.0000 0.0000 0.0000
Tl 6.4779 3.7402 4.7993
```

Spin magnetization, μB/atom: 0.67
Formation energy from raw total energies, eV per atom: -1.23

[11]
A geometry-optimized YTlFeCl6 structure. Source: the Alexandria database, functional PBE.

Structure (extended XYZ):
```
9
Lattice="6.7171 0.0014 -0.0056 3.3598 5.8167 0.0034 -0.0029 0.0070 7.1255" Properties=species:S:1:pos:R:3 pbc="T T T"
Cl 5.8512 5.7159 5.0233
Cl 7.5736 5.7181 2.0945
Cl 5.5485 2.2347 5.0406
Cl 8.7354 3.7071 5.0271
Cl 4.7051 3.6943 2.0827
Cl 7.8711 2.2158 2.0993
Fe 6.7191 3.8840 3.5612
Tl 0.0012 0.0095 7.1254
Y 3.3631 1.9461 3.5620
```

Spin magnetization, μB/atom: 0.44
Formation energy from raw total energies, eV per atom: -1.47

[12]
A geometry-optimized Zr2TlFeCl structure. Source: the Alexandria database, functional PBE.

Structure (extended XYZ):
```
5
Lattice="4.8827 0.0000 0.0000 0.0000 4.1527 0.0000 0.0000 0.0000 4.8827" Properties=species:S:1:pos:R:3 pbc="T T T"
Cl 0.0000 0.0000 0.0000
Zr 2.4413 0.0000 0.0000
Zr 0.0000 0.0000 2.4413
Tl 2.4413 2.0763 2.4413
Fe 0.0000 2.0763 0.0000
```

Spin magnetization, μB/atom: 0.32
Formation energy from raw total energies, eV per atom: 0.11

[13]
A geometry-optimized TmFeCl structure. Source: the Alexandria database, functional PBE.

Structure (extended XYZ):
```
6
Lattice="-4.3065 -2.7216 1.6834 0.9758 -2.4392 2.6073 0.2155 3.9298 6.2268" Properties=species:S:1:pos:R:3 pbc="T T T"
Fe -1.8875 -0.6861 4.1531
Fe -1.8146 -1.3399 6.1403
Tm -1.3865 -3.3760 4.0748
Tm -0.1453 1.4686 2.8935
Cl -4.0090 -3.1401 2.6395
Cl -0.8935 0.3695 7.3985
```

Spin magnetization, μB/atom: 0.20
Formation energy from raw total energies, eV per atom: -0.63

[14]
A geometry-optimized TmFeCl structure. Source: the Alexandria database, functional PBE.

Structure (extended XYZ):
```
6
Lattice="3.7351 -0.0184 -0.5194 -1.8915 3.2623 -0.0277 -0.3211 -0.1251 11.1724" Properties=species:S:1:pos:R:3 pbc="T T T"
Cl 1.2772 0.8009 9.0521
Cl 0.2453 2.3179 1.5732
Tm -0.8345 1.7429 7.5219
Tm 2.3570 1.3758 3.1033
Fe 0.7533 0.4649 5.2945
Fe 0.7692 2.6539 5.3307
```

Spin magnetization, μB/atom: 0.20
Formation energy from raw total energies, eV per atom: -1.12

[15]
A geometry-optimized UFeCl6 structure. Source: the Alexandria database, functional PBE.

Structure (extended XYZ):
```
8
Lattice="-5.9554 1.0924 1.6597 -1.1548 -5.3485 -4.5370 2.8358 -0.3729 6.5072" Properties=species:S:1:pos:R:3 pbc="T T T"
Cl -3.8131 -4.2277 1.2228
Cl -1.5774 -1.7930 -0.6819
Cl -0.4613 -0.4013 2.4071
Cl -0.1820 -4.0562 1.8932
Cl -4.0923 -0.5728 1.7368
Cl -2.6969 -2.8360 4.3118
U -2.1372 -2.3145 1.8150
Fe 0.0000 0.0000 0.0000
```

Spin magnetization, μB/atom: 0.68
Formation energy from raw total energies, eV per atom: -1.29

[16]
A geometry-optimized UFeCl structure. Source: the Alexandria database, functional PBE.

Structure (extended XYZ):
```
6
Lattice="4.3763 -0.1766 -0.0155 -2.1431 3.8061 -0.3326 -0.4840 -1.3237 9.1031" Properties=species:S:1:pos:R:3 pbc="T T T"
Fe 1.2559 -0.4209 3.5427
Fe 0.4933 2.7267 5.2123
U 2.2622 1.6415 5.2471
U -0.5130 0.6643 3.5079
Cl 1.6289 -0.2789 7.4125
Cl 0.1203 2.5847 1.3425
```

Spin magnetization, μB/atom: 0.00
Formation energy from raw total energies, eV per atom: -0.47

[17]
A geometry-optimized VFeCl3 structure. Source: the Alexandria database, functional PBE.

Structure (extended XYZ):
```
5
Lattice="-3.1045 3.0031 -2.2206 -2.9893 -3.7290 -0.8637 -2.2391 0.8147 4.2321" Properties=species:S:1:pos:R:3 pbc="T T T"
Fe -4.1665 0.0444 0.5739
Cl -1.5522 1.5015 -1.1103
Cl -1.1195 0.4073 2.1160
Cl -1.4947 -1.8645 -0.4319
V 0.0000 0.0000 0.0000
```

Spin magnetization, μB/atom: 1.37
Formation energy from raw total energies, eV per atom: -0.08

[18]
A geometry-optimized VFe2Cl8 structure. Source: the Alexandria database, functional PBE.

Structure (extended XYZ):
```
11
Lattice="-4.9950 -3.0739 -0.7800 0.8581 -3.2034 6.7765 -3.6563 4.6683 4.6645" Properties=species:S:1:pos:R:3 pbc="T T T"
Fe -5.4298 -0.7388 8.8525
Fe -2.3634 -0.8702 1.8086
Cl -4.2288 -2.0668 1.3358
Cl -3.6451 -4.2681 4.8027
Cl -1.3101 -2.2894 7.1861
Cl -4.1481 2.6590 5.8584
Cl -3.5645 0.4578 9.3253
Cl -6.4831 0.6804 3.4750
Cl -5.3993 -1.2775 6.7797
Cl -2.3939 -0.3315 3.8814
V 0.0000 0.0000 0.0000
```

Spin magnetization, μB/atom: 0.97
Formation energy from raw total energies, eV per atom: -0.89

[19]
A geometry-optimized VFeCl structure. Source: the Alexandria database, functional PBE.

Structure (extended XYZ):
```
6
Lattice="2.9764 0.0000 0.0000 -1.4882 2.5895 0.0000 0.0000 0.0000 12.2256" Properties=species:S:1:pos:R:3 pbc="T T T"
V 0.0000 2.0966 6.1128
V 0.0000 2.5007 0.0000
Fe 1.4882 1.2353 4.4720
Fe 1.4882 1.2353 7.7536
Cl 0.0000 0.7816 1.6762
Cl 0.0000 0.7816 10.5494
```

Spin magnetization, μB/atom: 0.48
Formation energy from raw total energies, eV per atom: 0.07

[20]
A geometry-optimized V3FeCl structure. Source: the Alexandria database, functional PBE.

Structure (extended XYZ):
```
5
Lattice="-1.9279 -3.7145 -0.6370 3.5073 -2.0303 1.2237 -1.3792 0.0295 4.0021" Properties=species:S:1:pos:R:3 pbc="T T T"
V -0.9640 -1.8572 -0.3185
V 1.7536 -1.0151 0.6118
V -0.6896 0.0148 2.0011
Fe 0.1000 -2.8576 2.2944
Cl 0.0000 0.0000 0.0000
```

Spin magnetization, μB/atom: 1.08
Formation energy from raw total energies, eV per atom: 0.71
Polymorph energy (0 for the lowest one), meV per atom: 0